No. 1
The following is a PBEsol calculation of a relaxed CaTeSeI2 crystal, from Alexandria.

Computed properties:
The formation energy without anion corrections comes out at 0.032 eV/f.u. As for the space-group type: P4/mmm (123). The calculation puts the total energy at -2.60 eV per atom.

POSCAR file:
```
CaTeSeI2
1.0
5.755 0.000 0.000
0.000 5.755 0.000
0.000 0.000 6.094
Ca Te Se I
1 1 1 2
direct
0.000 0.000 0.000 Ca
0.000 0.000 0.500 Te
0.500 0.500 0.500 Se
0.000 0.500 0.000 I
0.500 0.000 0.000 I
```

No. 2
The following is a PBEsol calculation of a relaxed CaSiI3 crystal, from Alexandria.

Computed properties:
The formation energy without anion corrections comes out at -1.675 eV/f.u. As for the space-group type: Pm-3m (221). The calculation puts the total energy at -2.97 eV per atom.

POSCAR file:
```
CaSiI3
1.0
5.567 0.000 0.000
0.000 5.567 0.000
0.000 0.000 5.567
Ca Si I
1 1 3
direct
0.000 0.000 0.000 Ca
0.500 0.500 0.500 Si
0.000 0.500 0.500 I
0.500 0.000 0.500 I
0.500 0.500 0.000 I
```

No. 3
The following is a PBEsol calculation of a relaxed Ca2SiI crystal, from Alexandria.

Computed properties:
The formation energy without anion corrections comes out at -1.850 eV/f.u. As for the space-group type: I-42d (122). The calculation puts the total energy at -3.41 eV per atom.

POSCAR file:
```
Ca2SiI
1.0
8.034 0.000 0.000
0.000 8.034 0.000
0.000 0.000 7.572
Ca Si I
8 4 4
direct
0.223 0.250 0.125 Ca
0.250 0.723 0.375 Ca
0.250 0.777 0.875 Ca
0.277 0.250 0.625 Ca
0.723 0.750 0.625 Ca
0.750 0.223 0.875 Ca
0.750 0.277 0.375 Ca
0.777 0.750 0.125 Ca
0.000 0.000 0.000 Si
0.000 0.500 0.250 Si
0.500 0.000 0.750 Si
0.500 0.500 0.500 Si
0.000 0.000 0.500 I
0.000 0.500 0.750 I
0.500 0.000 0.250 I
0.500 0.500 0.000 I
```